(1)
Compound: LiTmSnCl6
Source: Alexandria via LeMat-Bulk
Functional: PBE-GGA
Structure: optimized geometry

abc: 6.6870 6.6870 12.4603
angles: 90.00 90.00 120.00
Closest atoms and distances in Å follow each position.
Positions (direct):
Li 0.3333 0.6667 0.2500  6 Cl 2.61
Li 0.6667 0.3333 0.7500  6 Cl 2.61
Tm 0.6667 0.3333 0.2500  6 Cl 2.62
Tm 0.3333 0.6667 0.7500  6 Cl 2.62
Sn 0.0000 0.0000 0.0000  6 Cl 2.89
Sn 0.0000 0.0000 0.5000  6 Cl 2.89
Cl 0.6455 0.6466 0.1327  1 Li 2.61, 1 Tm 2.62, 1 Sn 2.89
Cl 0.0011 0.3545 0.1327  1 Li 2.61, 1 Tm 2.62, 1 Sn 2.89
Cl 0.3545 0.0011 0.6327  1 Li 2.61, 1 Tm 2.62, 1 Sn 2.89
Cl 0.9989 0.6455 0.8673  1 Li 2.61, 1 Tm 2.62, 1 Sn 2.89
Cl 0.3534 0.3545 0.3673  1 Li 2.61, 1 Tm 2.62, 1 Sn 2.89
Cl 0.0011 0.6466 0.3673  1 Li 2.61, 1 Tm 2.62, 1 Sn 2.89
Cl 0.6466 0.0011 0.8673  1 Li 2.61, 1 Tm 2.62, 1 Sn 2.89
Cl 0.6455 0.9989 0.3673  1 Li 2.61, 1 Tm 2.62, 1 Sn 2.89
Cl 0.9989 0.3534 0.6327  1 Li 2.61, 1 Tm 2.62, 1 Sn 2.89
Cl 0.3534 0.9989 0.1327  1 Li 2.61, 1 Tm 2.62, 1 Sn 2.89
Cl 0.6466 0.6455 0.6327  1 Li 2.61, 1 Tm 2.62, 1 Sn 2.89
Cl 0.3545 0.3534 0.8673  1 Li 2.61, 1 Tm 2.62, 1 Sn 2.89

- crystal system = trigonal
- symmetry = P-31c, No. 163
- E_form (uncorrected) (meV/atom) = -1741.9
- density of states at the Fermi level (states/eV per atom) = 0.00

(2)
Compound: LuInAg
Source: Alexandria via LeMat-Bulk
Functional: PBE-GGA
Structure: optimized geometry

abc: 3.4448 3.4448 6.2487
angles: 106.00 106.00 90.00
Closest atoms and distances in Å follow each position.
Positions (direct):
Lu 0.9420 0.9420 0.8841  4 Ag 3.06, 4 In 3.24
Ag 0.2805 0.2805 0.5611  4 In 3.01, 4 Lu 3.06
In 0.6274 0.6274 0.2548  4 Ag 3.01, 4 Lu 3.24

- crystal system = tetragonal
- symmetry = I4mm, No. 107
- formation energy from the elements (eV/atom) = -0.242
- density of states at the Fermi level (states/eV per atom) = 0.74

(3)
Compound: LiTm3Ir8
Source: Alexandria via LeMat-Bulk
Functional: PBE-GGA
Structure: optimized geometry

abc: 5.2936 5.2936 9.1751
angles: 73.23 73.23 60.00
Closest atoms and distances in Å follow each position.
Positions (direct):
Li 0.8723 0.8723 0.3832  12 Ir 3.03-3.15, 4 Tm 3.16-3.18
Tm 0.3759 0.3759 0.8722  12 Ir 3.10-3.12, 4 Tm 3.31-3.34
Tm 0.9940 0.9940 0.0181  12 Ir 3.02-3.25, 1 Li 3.16, 3 Tm 3.31
Tm 0.5047 0.5047 0.4858  12 Ir 3.01-3.16, 3 Li 3.18, 1 Tm 3.34
Ir 0.9387 0.4372 0.1868  6 Ir 2.64-2.65
Ir 0.4385 0.9377 0.6860  6 Ir 2.64-2.65
Ir 0.4372 0.4372 0.1868  6 Ir 2.64-2.65
Ir 0.9377 0.9377 0.6860  6 Ir 2.64-2.65
Ir 0.1881 0.1881 0.4357  6 Ir 2.64-2.65
Ir 0.6878 0.6878 0.9366  6 Ir 2.65
Ir 0.4372 0.9387 0.1868  6 Ir 2.64-2.65
Ir 0.9377 0.4385 0.6860  6 Ir 2.64-2.65

- crystal system = trigonal
- symmetry = R3m, No. 160
- formation energy from the elements (eV/atom) = -0.661
- density of states at the Fermi level (states/eV per atom) = 1.04

(4)
Compound: CaTe2C
Source: Alexandria via LeMat-Bulk
Functional: PBE-GGA
Structure: optimized geometry

abc: 7.5340 7.5340 7.5340
angles: 38.75 38.75 38.75
Closest atoms and distances in Å follow each position.
Positions (direct):
Ca 0.5000 0.5000 0.5000  6 Te 3.23
Te 0.9033 0.9033 0.9033  1 C 2.02
Te 0.0967 0.0967 0.0967  1 C 2.02
C 0.0000 0.0000 0.0000  2 Te 2.02

- crystal system = trigonal
- symmetry = R-3m, No. 166
- E_form (uncorrected) (meV/atom) = 484.0
- density of states at the Fermi level (states/eV per atom) = 0.03

(5)
Compound: HfC2O
Source: Alexandria via LeMat-Bulk
Functional: PBE-GGA
Structure: optimized geometry

abc: 5.1945 5.1945 4.8426
angles: 57.57 57.57 90.00
Closest atoms and distances in Å follow each position.
Positions (direct):
C 0.5489 0.1250 0.2500  2 O 1.77
C 0.2011 0.6250 0.2500  2 O 1.77
C 0.3750 0.4511 0.7500  2 O 1.77
C 0.8750 0.7989 0.7500  2 O 1.77
Hf 0.0000 0.0000 0.0000  4 C 2.28
Hf 0.7500 0.2500 0.5000  4 C 2.28
O 0.5000 0.5000 0.0000  4 C 1.77
O 0.2500 0.7500 0.5000  4 C 1.77

- crystal system = tetragonal
- symmetry = I-42d, No. 122
- E_form (uncorrected) (meV/atom) = 1191.4
- density of states at the Fermi level (states/eV per atom) = 0.22

(6)
Compound: Mg2Zn3Cd2
Source: Alexandria via LeMat-Bulk
Functional: PBE-GGA
Structure: optimized geometry

abc: 7.2128 7.2128 7.2128
angles: 109.47 109.47 109.47
Closest atoms and distances in Å follow each position.
Positions (direct):
Mg 0.0000 0.0000 0.4855  1 Cd 2.74, 6 Zn 2.80-3.01
Mg 0.5000 0.4855 0.5000  1 Cd 2.74, 6 Zn 2.80-3.01
Mg 0.5145 0.0145 0.0145  1 Cd 2.74, 6 Zn 2.80-3.01
Mg 0.9855 0.5000 0.0000  1 Cd 2.74, 6 Zn 2.80-3.01
Zn 0.7610 0.7500 0.0110  2 Cd 2.78, 4 Mg 2.80-3.01, 4 Zn 2.88
Zn 0.7390 0.2500 0.4890  2 Cd 2.78, 4 Mg 2.80-3.01, 4 Zn 2.88
Zn 0.9890 0.2390 0.2500  2 Cd 2.78, 4 Mg 2.80-3.01, 4 Zn 2.88
Zn 0.5110 0.2610 0.7500  2 Cd 2.78, 4 Mg 2.80-3.01, 4 Zn 2.88
Zn 0.2500 0.0110 0.2610  2 Cd 2.78, 4 Mg 2.80-3.01, 4 Zn 2.88
Zn 0.7500 0.4890 0.2390  2 Cd 2.78, 4 Mg 2.80-3.01, 4 Zn 2.88
Cd 0.0000 0.0000 0.8648  1 Mg 2.74, 3 Zn 2.78
Cd 0.5000 0.8648 0.5000  1 Mg 2.74, 3 Zn 2.78
Cd 0.1352 0.6352 0.6352  1 Mg 2.74, 3 Zn 2.78
Cd 0.3648 0.5000 0.0000  1 Mg 2.74, 3 Zn 2.78

- crystal system = cubic
- symmetry = I2_13, No. 199
- formation energy from the elements (eV/atom) = 0.062
- density of states at the Fermi level (states/eV per atom) = 0.26

(7)
Compound: LaPrTh2
Source: Alexandria via LeMat-Bulk
Functional: PBE-GGA
Structure: optimized geometry

abc: 5.2196 5.0775 5.0775
angles: 90.00 90.00 90.00
Closest atoms and distances in Å follow each position.
Positions (direct):
Pr 0.5000 0.5000 0.5000  4 La 3.59, 8 Th 3.64
Th 0.0000 0.0000 0.5000  4 Th 3.59, 4 La 3.64, 4 Pr 3.64
Th 0.0000 0.5000 0.0000  4 Th 3.59, 4 La 3.64, 4 Pr 3.64
La 0.5000 0.0000 0.0000  4 Pr 3.59, 8 Th 3.64

- crystal system = tetragonal
- symmetry = P4/mmm, No. 123
- formation energy from the elements (eV/atom) = 0.083
- density of states at the Fermi level (states/eV per atom) = 1.50
- energy above the lowest structure with this stoichiometry (meV/atom) = 57

(8)
Compound: LaPm6Sn
Source: Alexandria via LeMat-Bulk
Functional: PBE-GGA
Structure: optimized geometry

abc: 4.9832 4.9832 10.4402
angles: 90.00 90.00 90.00
Closest atoms and distances in Å follow each position.
Positions (direct):
La 0.0000 0.0000 0.5000  12 Pm 3.52-3.70
Pm 0.5000 0.5000 0.0000  8 Pm 3.51, 4 Sn 3.52
Pm 0.5000 0.5000 0.5000  4 La 3.52, 8 Pm 3.70
Pm 0.5000 0.0000 0.2374  2 Sn 3.51, 8 Pm 3.51-3.70, 2 La 3.70
Pm 0.5000 0.0000 0.7626  2 Sn 3.51, 8 Pm 3.51-3.70, 2 La 3.70
Pm 0.0000 0.5000 0.2374  8 Pm 3.51-3.70, 2 Sn 3.51, 2 La 3.70
Pm 0.0000 0.5000 0.7626  2 Sn 3.51, 8 Pm 3.51-3.70, 2 La 3.70
Sn 0.0000 0.0000 0.0000  12 Pm 3.51-3.52

- crystal system = tetragonal
- symmetry = P4/mmm, No. 123
- formation energy from the elements (eV/atom) = -0.188
- density of states at the Fermi level (states/eV per atom) = 1.21

(9)
Compound: Na2VPb2
Source: Alexandria via LeMat-Bulk
Functional: PBE-GGA
Structure: optimized geometry

abc: 5.6422 5.6422 5.8111
angles: 60.96 60.96 90.00
Closest atoms and distances in Å follow each position.
Positions (direct):
Pb 0.7500 0.2500 0.5000  4 Na 2.96
Pb 0.2500 0.7500 0.5000  4 Na 2.96
Na 0.3553 0.3553 0.2894  1 Na 2.45
Na 0.6447 0.6447 0.7106  1 Na 2.45
V 0.0000 0.0000 0.0000  2 Na 3.00

- crystal system = tetragonal
- symmetry = I4/mmm, No. 139
- formation energy from the elements (eV/atom) = 0.613
- density of states at the Fermi level (states/eV per atom) = 0.78
- energy above the lowest structure with this stoichiometry (meV/atom) = 140